# 1
## Ho5As4S (PBE)

Data for a geometry-optimized Ho5As4S structure.

It has space group I4/m (No. 87), with a = 9.0796 Å, b = 9.0796 Å, c = 5.7460 Å, α = 90.00°, β = 90.00° and γ = 90.00°. The inequivalent atoms are Ho at (0.0000, 0.0000, 0.0000), Ho at (0.1004, 0.2996, 0.5000), As at (0.0994, 0.2989, 0.0000) and S at (0.0000, 0.0000, 0.5000).

The theoretical density is 8.11 g cm⁻³. The calculation puts the raw formation energy at -16.5 eV per formula unit.



# 2
## Ho5AsS4 (PBE)

Data for a geometry-optimized Ho5AsS4 structure.

It has space group Immm (No. 71), with a = 3.9440 Å, b = 5.5452 Å, c = 19.6177 Å, α = 90.00°, β = 90.00° and γ = 90.00°. The inequivalent atoms are Ho at (0.0000, 0.0000, 0.0000), Ho at (0.0000, 0.0000, 0.1999), Ho at (0.0000, 0.0000, 0.3975), As at (0.0000, 0.5000, 0.0000), S at (0.0000, 0.5000, 0.2018) and S at (0.0000, 0.5000, 0.3990).

The theoretical density is 7.96 g cm⁻³. The calculation puts the raw formation energy at -19.0 eV per formula unit.



# 3
## Ho4SbAsS2 (PBE)

Data for a geometry-optimized Ho4SbAsS2 structure.

It has space group P2/m (No. 10), with a = 7.0114 Å, b = 4.0722 Å, c = 7.0830 Å, α = 90.00°, β = 109.61° and γ = 90.00°. The inequivalent atoms are Ho at (0.2315, 0.0000, 0.2313), Ho at (0.2417, 0.5000, 0.7582), Sb at (0.5000, 0.5000, 0.5000), As at (0.5000, 0.0000, 0.0000), S at (0.0000, 0.0000, 0.5000) and S at (0.0000, 0.5000, 0.0000).

The theoretical density is 8.02 g cm⁻³. The calculation puts the raw formation energy at -13.0 eV per formula unit.



# 4
## Ho4Sb2AsS (PBE)

Data for a geometry-optimized Ho4Sb2AsS structure.

It has space group P2/m (No. 10), with a = 7.2230 Å, b = 4.1764 Å, c = 7.2848 Å, α = 90.00°, β = 109.28° and γ = 90.00°. The inequivalent atoms are Ho at (0.2440, 0.0000, 0.2313), Ho at (0.2562, 0.5000, 0.7686), Sb at (0.0000, 0.0000, 0.5000), Sb at (0.5000, 0.5000, 0.5000), As at (0.0000, 0.5000, 0.0000) and S at (0.5000, 0.0000, 0.0000).

The theoretical density is 8.09 g cm⁻³. The calculation puts the raw formation energy at -11.3 eV per formula unit.



# 5
## Ho6SbAs3S2 (PBE)

Data for a geometry-optimized Ho6SbAs3S2 structure.

It has space group C2/m (No. 12), with a = 17.7756 Å, b = 4.0903 Å, c = 8.1738 Å, α = 90.00°, β = 103.22° and γ = 90.00°. The inequivalent atoms are Ho at (0.0020, 0.0000, 0.2644), Ho at (0.1673, 0.5000, 0.5843), Ho at (0.1726, 0.5000, 0.0856), Sb at (0.0000, 0.5000, 0.0000), As at (0.0000, 0.5000, 0.5000), As at (0.1651, 0.0000, 0.8305) and S at (0.1696, 0.0000, 0.3377).

The theoretical density is 8.04 g cm⁻³. The calculation puts the raw formation energy at -19.3 eV per formula unit.



# 6
## Ho6AsSe3S2 (PBE)

Data for a geometry-optimized Ho6AsSe3S2 structure.

It has space group C2/m (No. 12), with a = 6.8999 Å, b = 11.9473 Å, c = 7.0323 Å, α = 90.00°, β = 109.07° and γ = 90.00°. The inequivalent atoms are Ho at (0.2360, 0.0000, 0.2279), Ho at (0.2462, 0.3304, 0.2280), As at (0.0000, 0.5000, 0.0000), Se at (0.0000, 0.0000, 0.5000), Se at (0.0000, 0.3349, 0.5000) and S at (0.0000, 0.1670, 0.0000).

The theoretical density is 8.28 g cm⁻³. The calculation puts the raw formation energy at -21.6 eV per formula unit.



# 7
## Ho8As3Se4S (PBE)

Data for a geometry-optimized Ho8As3Se4S structure.

It has space group R-3m (No. 166, hexagonal axes), with a = 8.0904 Å, b = 8.0904 Å, c = 19.9762 Å, α = 90.00°, β = 90.00° and γ = 120.00°. The inequivalent atoms are Ho at (0.0000, 0.0000, 0.2461), Ho at (0.0040, 0.5020, 0.2449), As at (0.0000, 0.5000, 0.5000), Se at (0.0000, 0.0000, 0.0000), Se at (0.0000, 0.5000, 0.0000) and S at (0.0000, 0.0000, 0.5000).

The theoretical density is 8.32 g cm⁻³. The calculation puts the raw formation energy at -27.7 eV per formula unit.



# 8
## Ho4AsSeS2 (PBE)

Data for a geometry-optimized Ho4AsSeS2 structure.

It has space group P2/m (No. 10), with a = 6.8965 Å, b = 3.9752 Å, c = 6.9115 Å, α = 90.00°, β = 109.26° and γ = 90.00°. The inequivalent atoms are Ho at (0.2329, 0.0000, 0.2357), Ho at (0.2396, 0.5000, 0.7549), As at (0.5000, 0.0000, 0.0000), Se at (0.5000, 0.5000, 0.5000), S at (0.0000, 0.0000, 0.5000) and S at (0.0000, 0.5000, 0.0000).

The theoretical density is 8.15 g cm⁻³. The calculation puts the raw formation energy at -14.6 eV per formula unit.



# 9
## Ho6As2SeS3 (PBE)

Data for a geometry-optimized Ho6As2SeS3 structure.

It has space group C2/m (No. 12), with a = 17.3764 Å, b = 3.9878 Å, c = 7.9688 Å, α = 90.00°, β = 103.03° and γ = 90.00°. The inequivalent atoms are Ho at (0.0008, 0.0000, 0.2364), Ho at (0.1663, 0.5000, 0.0854), Ho at (0.1721, 0.5000, 0.5838), As at (0.1657, 0.0000, 0.8315), Se at (0.0000, 0.5000, 0.5000), S at (0.0000, 0.5000, 0.0000) and S at (0.1649, 0.0000, 0.3336).

The theoretical density is 8.12 g cm⁻³. The calculation puts the raw formation energy at -21.7 eV per formula unit.



# 10
## Ho6As3SeS2 (PBE)

Data for a geometry-optimized Ho6As3SeS2 structure.

It has space group C2/m (No. 12), with a = 17.5472 Å, b = 4.0335 Å, c = 8.0373 Å, α = 90.00°, β = 103.05° and γ = 90.00°. The inequivalent atoms are Ho at (0.0014, 0.0000, 0.2584), Ho at (0.1676, 0.5000, 0.5824), Ho at (0.1703, 0.5000, 0.0861), As at (0.0000, 0.5000, 0.5000), As at (0.1651, 0.0000, 0.8324), Se at (0.0000, 0.5000, 0.0000) and S at (0.1673, 0.0000, 0.3335).

The theoretical density is 8.13 g cm⁻³. The calculation puts the raw formation energy at -21.0 eV per formula unit.



# 11
## Ho4SiAs2S (PBE)

Data for a geometry-optimized Ho4SiAs2S structure.

It has space group P2/m (No. 10), with a = 7.0273 Å, b = 4.0399 Å, c = 7.0366 Å, α = 90.00°, β = 109.35° and γ = 90.00°. The inequivalent atoms are Ho at (0.2474, 0.0000, 0.2490), Ho at (0.2485, 0.5000, 0.7531), Si at (0.0000, 0.5000, 0.0000), As at (0.5000, 0.0000, 0.0000), As at (0.5000, 0.5000, 0.5000) and S at (0.0000, 0.0000, 0.5000).

The theoretical density is 7.66 g cm⁻³. The calculation puts the raw formation energy at -11.6 eV per formula unit.



# 12
## Ho6Si2AsS3 (PBE)

Data for a geometry-optimized Ho6Si2AsS3 structure.

It has space group C2/m (No. 12), with a = 17.4651 Å, b = 4.0152 Å, c = 8.0226 Å, α = 90.00°, β = 102.99° and γ = 90.00°. The inequivalent atoms are Ho at (0.0025, 0.0000, 0.2518), Ho at (0.1674, 0.5000, 0.0884), Ho at (0.1672, 0.5000, 0.5819), Si at (0.1668, 0.0000, 0.3336), As at (0.0000, 0.5000, 0.0000), S at (0.0000, 0.5000, 0.5000) and S at (0.1652, 0.0000, 0.8344).

The theoretical density is 7.37 g cm⁻³. The calculation puts the raw formation energy at -18.2 eV per formula unit.